No. 1
Ta9Co2S6: relaxed, GGA-PBE.

Lattice parameters (Å, degrees): 10.270 10.270 3.357 90.00 90.00 120.00
Fractional positions:
S (0.000, 0.704, 0.000)
S (0.273, 0.000, 0.500)
S (0.000, 0.273, 0.500)
S (0.296, 0.296, 0.000)
S (0.727, 0.727, 0.500)
S (0.704, 0.000, 0.000)
Ta (0.799, 0.537, 0.500)
Ta (0.537, 0.799, 0.500)
Ta (0.456, 0.000, 0.000)
Ta (0.201, 0.737, 0.500)
Ta (0.463, 0.263, 0.500)
Ta (0.544, 0.544, 0.000)
Ta (0.263, 0.463, 0.500)
Ta (0.737, 0.201, 0.500)
Ta (0.000, 0.456, 0.000)
Co (0.667, 0.333, 0.000)
Co (0.333, 0.667, 0.000)

Computed properties:
SG = No. 189
VASP energy = -158.41 eV per formula unit
Energy relative to the elements, uncorrected = -0.750 eV/atom
Energy above the most stable polymorph in this dataset = 0.006 eV per atom


No. 2
TmScCu2: relaxed, GGA-PBE.

Lattice parameters (Å, degrees): 3.336 3.336 6.679 90.00 90.00 90.00
Fractional positions:
Cu (0.000, 0.000, 0.772)
Cu (0.000, 0.000, 0.228)
Sc (0.500, 0.500, 0.000)
Tm (0.500, 0.500, 0.500)

Computed properties:
Formation energy from the elements = -0.28 eV per atom
SG = No. 123
VASP energy = -20.10 eV per formula unit
Energy above the most stable polymorph in this dataset = 0.000 eV per atom


No. 3
DyTh2Al: relaxed, GGA-PBE.

Lattice parameters (Å, degrees): 5.436 5.436 5.436 60.00 60.00 60.00
Fractional positions:
Th (0.750, 0.750, 0.750)
Th (0.250, 0.250, 0.250)
Al (0.500, 0.500, 0.500)
Dy (0.000, 0.000, 0.000)

Computed properties:
Formation energy from the elements = 0.06 eV per atom
SG = No. 225
VASP energy = -22.96 eV per formula unit
Energy above the most stable polymorph in this dataset = 0.188 eV per atom


No. 4
Pt2SeO2: relaxed, GGA-PBE.

Lattice parameters (Å, degrees): 7.258 7.258 2.923 90.00 90.00 90.00
Fractional positions:
Pt (0.235, 0.265, 0.000)
Pt (0.765, 0.735, 0.000)
Pt (0.265, 0.765, 0.000)
Pt (0.735, 0.235, 0.000)
Se (0.500, 0.500, 0.000)
Se (0.000, 0.000, 0.000)
O (0.131, 0.631, 0.500)
O (0.869, 0.369, 0.500)
O (0.631, 0.869, 0.500)
O (0.369, 0.131, 0.500)

Computed properties:
SG = No. 127
VASP energy = -23.85 eV per formula unit
Energy relative to the elements, uncorrected = 0.327 eV/atom
Energy above the most stable polymorph in this dataset = 0.000 eV per atom


No. 5
Ca2CdAsPb: relaxed, GGA-PBE.

Lattice parameters (Å, degrees): 5.550 5.611 5.550 90.00 90.00 90.00
Fractional positions:
Cd (0.500, 0.500, 0.500)
Pb (0.000, 0.500, 0.000)
Ca (0.000, 0.000, 0.500)
Ca (0.500, 0.000, 0.000)
As (0.000, 0.000, 0.000)

Computed properties:
Formation energy from the elements = -0.28 eV per atom
SG = No. 123
VASP energy = -14.68 eV per formula unit


No. 6
Tb3SmTl4: relaxed, GGA-PBE.

Lattice parameters (Å, degrees): 3.547 7.247 10.162 110.87 100.05 90.00
Each line ends with the local moment (μB).
Fractional positions:
Tl (0.628, 0.842, 0.255)  0.00
Tl (0.628, 0.413, 0.255)  0.00
Tl (0.372, 0.158, 0.745)  0.00
Tl (0.372, 0.587, 0.745)  0.00
Sm (0.500, 0.000, 0.000)  0.08
Tb (0.780, 0.780, 0.561)  0.00
Tb (0.220, 0.220, 0.439)  0.00
Tb (0.000, 0.500, 0.000)  0.00

Computed properties:
Formation energy from the elements = -0.23 eV per atom
SG = No. 71
VASP energy = -29.89 eV per formula unit
Energy above the most stable polymorph in this dataset = 0.134 eV per atom


No. 7
MnFeNi2Rh: relaxed, GGA-PBE.

Lattice parameters (Å, degrees): 4.487 4.597 4.487 90.00 90.00 90.00
Each line ends with the local moment (μB).
Fractional positions:
Mn (0.000, 0.500, 0.000)  3.78
Ni (0.500, 0.000, 0.000)  0.12
Ni (0.000, 0.000, 0.500)  -0.10
Fe (0.500, 0.500, 0.500)  3.25
Rh (0.000, 0.000, 0.000)  0.12

Computed properties:
Formation energy from the elements = 1.40 eV per atom
SG = No. 123
VASP energy = -29.52 eV per formula unit


No. 8
Ho4CdBi: relaxed, GGA-PBE.

Lattice parameters (Å, degrees): 5.036 11.462 6.693 90.00 90.00 116.07
Fractional positions:
Ho (0.335, 0.085, 0.750)
Ho (0.985, 0.735, 0.504)
Ho (0.985, 0.735, 0.996)
Ho (0.665, 0.915, 0.250)
Ho (0.680, 0.430, 0.750)
Ho (0.320, 0.570, 0.250)
Ho (0.015, 0.265, 0.004)
Ho (0.015, 0.265, 0.496)
Bi (0.657, 0.907, 0.750)
Bi (0.343, 0.093, 0.250)
Cd (0.659, 0.409, 0.250)
Cd (0.341, 0.591, 0.750)

Computed properties:
Formation energy from the elements = -0.30 eV per atom
SG = No. 59
VASP energy = -24.90 eV per formula unit
Energy above the most stable polymorph in this dataset = 0.053 eV per atom


No. 9
Zr2AsBr: relaxed, GGA-PBE.

Lattice parameters (Å, degrees): 6.041 6.041 6.041 147.42 133.59 57.85
Fractional positions:
Br (0.231, 0.731, 0.500)
Zr (0.733, 0.233, 0.500)
Zr (0.014, 0.014, 0.000)
As (0.523, 0.523, 0.000)

Computed properties:
SG = No. 44
VASP energy = -25.22 eV per formula unit
Energy relative to the elements, uncorrected = -0.451 eV/atom


No. 10
Mg2AlHPd: relaxed, GGA-PBE.

Lattice parameters (Å, degrees): 4.170 4.170 4.051 90.00 90.00 90.00
Fractional positions:
Mg (0.500, 0.000, 0.000)
Mg (0.000, 0.500, 0.000)
Al (0.000, 0.000, 0.500)
H (0.000, 0.000, 0.000)
Pd (0.500, 0.500, 0.500)

Computed properties:
SG = No. 123
VASP energy = -16.74 eV per formula unit